1.
Ba5Na3H12: optimized geometry, GGA-PBE.

a b c (Å): 13.367 13.367 13.367
angles (deg): 109.47 109.47 109.47
Fractional coordinates of all 80 atoms:
Ba1 0.000 0.000 0.000
Ba2 0.000 0.000 0.500
Ba3 0.000 0.500 0.000
Ba4 0.000 0.500 0.500
Ba5 0.125 0.750 0.875
Ba6 0.125 0.875 0.250
Ba7 0.250 0.125 0.875
Ba8 0.250 0.625 0.375
Ba9 0.375 0.250 0.625
Ba10 0.375 0.625 0.750
Ba11 0.500 0.000 0.000
Ba12 0.500 0.000 0.500
Ba13 0.500 0.500 0.000
Ba14 0.500 0.500 0.500
Ba15 0.625 0.375 0.250
Ba16 0.625 0.750 0.375
Ba17 0.750 0.375 0.625
Ba18 0.750 0.875 0.125
Ba19 0.875 0.125 0.750
Ba20 0.875 0.250 0.125
Na1 0.125 0.250 0.375
Na2 0.125 0.375 0.750
Na3 0.250 0.375 0.125
Na4 0.250 0.875 0.625
Na5 0.375 0.125 0.250
Na6 0.375 0.750 0.125
Na7 0.625 0.250 0.875
Na8 0.625 0.875 0.750
Na9 0.750 0.125 0.375
Na10 0.750 0.625 0.875
Na11 0.875 0.625 0.250
Na12 0.875 0.750 0.625
H1 0.049 0.226 0.118
H2 0.049 0.323 0.931
H3 0.069 0.618 0.393
H4 0.069 0.951 0.677
H5 0.107 0.726 0.677
H6 0.107 0.882 0.431
H7 0.118 0.049 0.226
H8 0.118 0.569 0.893
H9 0.177 0.226 0.607
H10 0.177 0.451 0.569
H11 0.226 0.118 0.049
H12 0.226 0.607 0.177
H13 0.274 0.323 0.893
H14 0.274 0.451 0.382
H15 0.323 0.893 0.274
H16 0.323 0.931 0.049
H17 0.382 0.274 0.451
H18 0.382 0.607 0.931
H19 0.393 0.069 0.618
H20 0.393 0.823 0.774
H21 0.431 0.107 0.882
H22 0.431 0.823 0.549
H23 0.451 0.382 0.274
H24 0.451 0.569 0.177
H25 0.549 0.431 0.823
H26 0.549 0.618 0.726
H27 0.569 0.177 0.451
H28 0.569 0.893 0.118
H29 0.607 0.177 0.226
H30 0.607 0.931 0.382
H31 0.618 0.393 0.069
H32 0.618 0.726 0.549
H33 0.677 0.069 0.951
H34 0.677 0.107 0.726
H35 0.726 0.549 0.618
H36 0.726 0.677 0.107
H37 0.774 0.393 0.823
H38 0.774 0.882 0.951
H39 0.823 0.549 0.431
H40 0.823 0.774 0.393
H41 0.882 0.431 0.107
H42 0.882 0.951 0.774
H43 0.893 0.118 0.569
H44 0.893 0.274 0.323
H45 0.931 0.049 0.323
H46 0.931 0.382 0.607
H47 0.951 0.677 0.069
H48 0.951 0.774 0.882

Output
Fermi-level density of states in states/eV per cell: 25.971
VASP energy in eV per atom: -2.816
Magnetic moment in μB per formula unit: 0.00

=====

2.
LaMn3Cr: optimized geometry, GGA-PBE.

a b c (Å): 4.559 4.559 4.559
angles (deg): 90.00 90.00 90.00
Fractional coordinates of all 5 atoms:
La1 0.000 0.000 0.000
Mn1 0.000 0.500 0.500
Mn2 0.500 0.000 0.500
Mn3 0.500 0.500 0.000
Cr1 0.500 0.500 0.500

Output
Fermi-level density of states in states/eV per cell: 6.047
ΔE_f in meV per atom: 525.5
ΔE to the lowest computed polymorph in meV per atom: 0
Magnetic moment in μB per formula unit: 6.42

=====

The lowest magnetic moment belongs to which entry? Ba5Na3H12

=====

Which value of Fermi-level density of states does entry 2 give? 6.047 states/eV per cell

=====

The lowest Fermi-level density of states belongs to which entry? LaMn3Cr

=====

What did the first record say?
Ba5Na3H12: optimized geometry, GGA-PBE.

a b c (Å): 13.367 13.367 13.367
angles (deg): 109.47 109.47 109.47
Fractional coordinates of all 80 atoms:
Ba1 0.000 0.000 0.000
Ba2 0.000 0.000 0.500
Ba3 0.000 0.500 0.000
Ba4 0.000 0.500 0.500
Ba5 0.125 0.750 0.875
Ba6 0.125 0.875 0.250
Ba7 0.250 0.125 0.875
Ba8 0.250 0.625 0.375
Ba9 0.375 0.250 0.625
Ba10 0.375 0.625 0.750
Ba11 0.500 0.000 0.000
Ba12 0.500 0.000 0.500
Ba13 0.500 0.500 0.000
Ba14 0.500 0.500 0.500
Ba15 0.625 0.375 0.250
Ba16 0.625 0.750 0.375
Ba17 0.750 0.375 0.625
Ba18 0.750 0.875 0.125
Ba19 0.875 0.125 0.750
Ba20 0.875 0.250 0.125
Na1 0.125 0.250 0.375
Na2 0.125 0.375 0.750
Na3 0.250 0.375 0.125
Na4 0.250 0.875 0.625
Na5 0.375 0.125 0.250
Na6 0.375 0.750 0.125
Na7 0.625 0.250 0.875
Na8 0.625 0.875 0.750
Na9 0.750 0.125 0.375
Na10 0.750 0.625 0.875
Na11 0.875 0.625 0.250
Na12 0.875 0.750 0.625
H1 0.049 0.226 0.118
H2 0.049 0.323 0.931
H3 0.069 0.618 0.393
H4 0.069 0.951 0.677
H5 0.107 0.726 0.677
H6 0.107 0.882 0.431
H7 0.118 0.049 0.226
H8 0.118 0.569 0.893
H9 0.177 0.226 0.607
H10 0.177 0.451 0.569
H11 0.226 0.118 0.049
H12 0.226 0.607 0.177
H13 0.274 0.323 0.893
H14 0.274 0.451 0.382
H15 0.323 0.893 0.274
H16 0.323 0.931 0.049
H17 0.382 0.274 0.451
H18 0.382 0.607 0.931
H19 0.393 0.069 0.618
H20 0.393 0.823 0.774
H21 0.431 0.107 0.882
H22 0.431 0.823 0.549
H23 0.451 0.382 0.274
H24 0.451 0.569 0.177
H25 0.549 0.431 0.823
H26 0.549 0.618 0.726
H27 0.569 0.177 0.451
H28 0.569 0.893 0.118
H29 0.607 0.177 0.226
H30 0.607 0.931 0.382
H31 0.618 0.393 0.069
H32 0.618 0.726 0.549
H33 0.677 0.069 0.951
H34 0.677 0.107 0.726
H35 0.726 0.549 0.618
H36 0.726 0.677 0.107
H37 0.774 0.393 0.823
H38 0.774 0.882 0.951
H39 0.823 0.549 0.431
H40 0.823 0.774 0.393
H41 0.882 0.431 0.107
H42 0.882 0.951 0.774
H43 0.893 0.118 0.569
H44 0.893 0.274 0.323
H45 0.931 0.049 0.323
H46 0.931 0.382 0.607
H47 0.951 0.677 0.069
H48 0.951 0.774 0.882

Output
Fermi-level density of states in states/eV per cell: 25.971
VASP energy in eV per atom: -2.816
Magnetic moment in μB per formula unit: 0.00